Entry from the Alexandria database: a relaxed ReTcAu2 crystal (PBE).

Geometry as POSCAR:
```
ReTcAu2
1.0
5.046 0.027 -0.017
-2.189 4.546 -0.017
0.010 0.016 2.803
Au Re Tc
2 1 1
Cartesian
1.428 2.287 -0.017
0.000 0.000 0.000
2.528 0.022 1.393
-1.089 2.281 1.393
```

## Properties
E_tot, eV per atom: -6.8008
Energy of formation from the pure elements, meV per atom: 541
Space-group type: Cmmm, No. 65